(A)
This record from Alexandria describes a geometry-optimized AlSiAu2 structure. The functional is PBE.

a b c (Å): 3.3979 3.3979 21.8345
angles (deg): 90.00 90.00 120.00
Space group R3m (No. 160, hexagonal axes)
Unique sites:
1 Al 0.0000 0.0000 0.0000 (multiplicity 3)
2 Si 0.0000 0.0000 0.2480 (multiplicity 3)
3 Au 0.0000 0.0000 0.5089 (multiplicity 3)
4 Au 0.0000 0.0000 0.7442 (multiplicity 3)

(B)
This record from Alexandria describes a geometry-optimized AlSiAu2 structure. The functional is PBE.

a b c (Å): 4.464 4.464 3.440
angles (deg): 90.00 90.00 90.00
Space group P4/mmm (No. 123)
Unique sites:
1 Al 0.000 0.000 0.000 (multiplicity 1)
2 Si 0.500 0.500 0.000 (multiplicity 1)
3 Au 0.000 0.500 0.500 (multiplicity 2)

(C)
This record from Alexandria describes a geometry-optimized AlSiAu2 structure. The functional is PBE.

a b c (Å): 4.263 4.263 16.447
angles (deg): 90.00 90.00 90.00
Space group I-42d (No. 122)
Unique sites:
1 Al 0.000 0.000 0.000 (multiplicity 4)
2 Si 0.000 0.000 0.500 (multiplicity 4)
3 Au 0.238 0.250 0.625 (multiplicity 8)

(D)
This record from Alexandria describes a geometry-optimized AlSiAu2 structure. The functional is PBE.

a b c (Å): 4.088 4.221 4.326
angles (deg): 90.00 96.38 90.00
Space group P2/m (No. 10)
Unique sites:
1 Al 0.000 0.000 0.000 (multiplicity 1)
2 Si 0.500 0.000 0.500 (multiplicity 1)
3 Au 0.256 0.500 0.745 (multiplicity 2)

The energy of each structure relative to the most stable one, in eV/atom, is as follows: (A) 0.068; (B) 0.140; (C) 0.000; (D) 0.158.

(A)
This record from Alexandria describes a geometry-optimized AlSiAu2 structure. The functional is PBE.

a b c (Å): 7.907 3.229 5.613
angles (deg): 90.00 103.43 90.00
Space group C2/m (No. 12)
Unique sites:
1 Al 0.000 0.000 0.000 (multiplicity 2)
2 Si 0.000 0.500 0.500 (multiplicity 2)
3 Au 0.248 0.500 0.253 (multiplicity 4)

(B)
This record from Alexandria describes a geometry-optimized AlSiAu2 structure. The functional is PBE.

a b c (Å): 3.200 4.594 5.302
angles (deg): 65.30 89.70 89.88
Space group P1 (No. 1)
Unique sites:
1 Al 0.000 0.000 0.000 (multiplicity 1)
2 Si 0.503 0.381 0.127 (multiplicity 1)
3 Au 0.001 0.483 0.455 (multiplicity 1)
4 Au 0.501 0.866 0.667 (multiplicity 1)

The energy of each structure relative to the most stable one, in eV/atom, is as follows: (A) 0.000; (B) 0.040.

(A)
This record from Alexandria describes a geometry-optimized Al2SiAu2 structure. The functional is PBE.

a b c (Å): 3.918 3.918 12.083
angles (deg): 90.00 90.00 90.00
Space group I4/mmm (No. 139)
Unique sites:
1 Al 0.000 0.500 0.250 (multiplicity 4)
2 Si 0.000 0.000 0.000 (multiplicity 2)
3 Au 0.000 0.000 0.387 (multiplicity 4)

(B)
This record from Alexandria describes a geometry-optimized Al2SiAu2 structure. The functional is PBE.

a b c (Å): 7.925 7.925 2.771
angles (deg): 90.00 90.00 90.00
Space group P4/mbm (No. 127)
Unique sites:
1 Al 0.131 0.369 0.000 (multiplicity 4)
2 Si 0.000 0.000 0.500 (multiplicity 2)
3 Au 0.168 0.668 0.500 (multiplicity 4)

(C)
This record from Alexandria describes a geometry-optimized Al2SiAu2 structure. The functional is PBE.

a b c (Å): 7.571 7.571 3.093
angles (deg): 90.00 90.00 90.00
Space group P4/mbm (No. 127)
Unique sites:
1 Al 0.164 0.336 0.000 (multiplicity 4)
2 Si 0.000 0.000 0.000 (multiplicity 2)
3 Au 0.135 0.635 0.500 (multiplicity 4)

The energy of each structure relative to the most stable one, in eV/atom, is as follows: (A) 0.080; (B) 0.000; (C) 0.092.

(A)
This record from Alexandria describes a geometry-optimized SmAl2Au8 structure. The functional is PBE.

a b c (Å): 14.220 4.262 7.721
angles (deg): 90.00 117.01 90.00
Space group C2/m (No. 12)
Unique sites:
1 Sm 0.000 0.000 0.000 (multiplicity 2)
2 Al 0.224 0.500 0.704 (multiplicity 4)
3 Au 0.043 0.500 0.730 (multiplicity 4)
4 Au 0.101 0.000 0.475 (multiplicity 4)
5 Au 0.165 0.500 0.296 (multiplicity 4)
6 Au 0.186 0.000 0.896 (multiplicity 4)

(B)
This record from Alexandria describes a geometry-optimized SmAl2Au8 structure. The functional is PBE.

a b c (Å): 5.682 5.682 7.894
angles (deg): 90.00 90.00 90.00
Space group P4/mmm (No. 123)
Unique sites:
1 Sm 0.000 0.000 0.000 (multiplicity 1)
2 Al 0.000 0.500 0.500 (multiplicity 2)
3 Au 0.255 0.255 0.285 (multiplicity 8)

The energy of each structure relative to the most stable one, in eV/atom, is as follows: (A) 0.000; (B) 0.193.

(A)
This record from Alexandria describes a geometry-optimized SmAl2Au6 structure. The functional is PBE.

a b c (Å): 11.913 7.515 4.368
angles (deg): 90.00 105.94 90.00
Space group C2/m (No. 12)
Unique sites:
1 Sm 0.000 0.000 0.000 (multiplicity 2)
2 Al 0.198 0.500 0.702 (multiplicity 4)
3 Au 0.000 0.296 0.500 (multiplicity 4)
4 Au 0.176 0.304 0.185 (multiplicity 8)

(B)
This record from Alexandria describes a geometry-optimized SmAl2Au6 structure. The functional is PBE.

a b c (Å): 11.795 11.795 11.795
angles (deg): 90.00 90.00 90.00
Space group Fd-3m (No. 227, origin choice 2)
Unique sites:
1 Sm 0.125 0.125 0.125 (multiplicity 8)
2 Al 0.000 0.000 0.500 (multiplicity 16)
3 Au 0.122 0.375 0.875 (multiplicity 48)

The energy of each structure relative to the most stable one, in eV/atom, is as follows: (A) 0.000; (B) 0.185.

(A)
This record from Alexandria describes a geometry-optimized SmAlAu4 structure. The functional is PBE.

a b c (Å): 3.780 3.611 8.935
angles (deg): 90.00 97.02 90.00
Space group P2/m (No. 10)
Unique sites:
1 Sm 0.000 0.000 0.000 (multiplicity 1)
2 Al 0.500 0.500 0.500 (multiplicity 1)
3 Au 0.092 0.000 0.352 (multiplicity 2)
4 Au 0.447 0.500 0.810 (multiplicity 2)

(B)
This record from Alexandria describes a geometry-optimized SmAlAu4 structure. The functional is PBE.

a b c (Å): 11.083 6.121 7.576
angles (deg): 90.00 107.79 90.00
Space group C2/m (No. 12)
Unique sites:
1 Sm 0.218 0.000 0.316 (multiplicity 4)
2 Al 0.060 0.500 0.251 (multiplicity 4)
3 Au 0.000 0.254 0.500 (multiplicity 4)
4 Au 0.112 0.247 0.944 (multiplicity 8)
5 Au 0.212 0.000 0.707 (multiplicity 4)

The energy of each structure relative to the most stable one, in eV/atom, is as follows: (A) 0.047; (B) 0.000.